1.
LaAg2 | the Alexandria database | GGA-PBE | optimized geometry; calculated formation energy = -62 meV/atom
1.0
-2.8583 2.8583 4.8026
2.8583 -2.8583 4.8026
2.8583 2.8583 -4.8026
La Ag
2 4
Direct
0.2500 0.2500 0.0000
0.7500 0.7500 0.0000
0.1658 0.6658 0.8315
0.3342 0.1658 0.5000
0.6658 0.8342 0.5000
0.8342 0.3342 0.1685

=====

2.
CeGd2Al | the Alexandria database | GGA-PBE | optimized geometry; calculated formation energy = -139 meV/atom
1.0
3.4862 0.0000 0.0000
0.0000 3.4862 0.0000
0.0000 0.0000 9.0061
Ce Gd Al
1 2 1
Direct
0.0000 0.0000 0.0000
0.5000 0.5000 0.2802
0.5000 0.5000 0.7198
0.0000 0.0000 0.5000

=====

3.
LiP3Se | the Alexandria database | GGA-PBE | optimized geometry; raw formation energy = 4.393 eV per formula unit
1.0
4.8484 0.0000 0.0000
0.0000 4.8484 0.0000
0.0000 0.0000 4.8484
Li P Se
1 3 1
Direct
0.0000 0.0000 0.0000
0.0000 0.5000 0.5000
0.5000 0.0000 0.5000
0.5000 0.5000 0.0000
0.5000 0.5000 0.5000

=====

4.
Hg2PtS | the Alexandria database | GGA-PBE | optimized geometry; raw formation energy = 1.497 eV per formula unit
1.0
-3.1481 3.1481 5.7223
3.1481 -3.1481 5.7223
3.1481 3.1481 -5.7223
Hg Pt S
4 2 2
Direct
0.1122 0.6250 0.9872
0.3750 0.3622 0.4872
0.6378 0.1250 0.0128
0.8750 0.8878 0.5128
0.2500 0.7500 0.5000
0.5000 0.5000 0.0000
0.0000 0.0000 0.0000
0.7500 0.2500 0.5000

=====

5.
Ag2GeSe3 | the Alexandria database | GGA-PBE | optimized geometry; raw formation energy = -1.152 eV per formula unit
1.0
6.2798 -3.6822 0.0000
6.2798 3.6822 0.0000
0.0000 0.0000 6.9020
Ag Ge Se
4 2 6
Direct
0.0001 0.3174 0.0000
0.9999 0.6826 0.5000
0.3174 0.0001 0.5000
0.6826 0.9999 0.0000
0.3364 0.6636 0.0309
0.6636 0.3364 0.5309
0.0258 0.6563 0.1179
0.3437 0.9742 0.1179
0.3515 0.6485 0.6631
0.6485 0.3515 0.1631
0.6563 0.0258 0.6179
0.9742 0.3437 0.6179

=====

6.
LiB2As2 | the Alexandria database | GGA-PBE | optimized geometry; calculated formation energy = 708 meV/atom
1.0
6.7131 0.0000 0.0000
0.0000 6.7131 0.0000
0.0000 0.0000 3.1538
Li B As
2 4 4
Direct
0.0000 0.0000 0.0000
0.5000 0.5000 0.0000
0.0904 0.4096 0.5000
0.4096 0.9096 0.5000
0.5904 0.0904 0.5000
0.9096 0.5904 0.5000
0.1544 0.6544 0.0000
0.3456 0.1544 0.0000
0.6544 0.8456 0.0000
0.8456 0.3456 0.0000

=====

7.
Tl3HgSF | the Alexandria database | GGA-PBE | optimized geometry; raw formation energy = -4.462 eV per formula unit
1.0
9.5735 0.0000 0.0000
0.0000 4.2630 0.0000
-2.9651 0.0000 9.4181
Tl Hg S F
6 2 2 2
Direct
0.0035 0.2500 0.1780
0.3038 0.7500 0.4495
0.4003 0.2500 0.1231
0.5997 0.7500 0.8769
0.6962 0.2500 0.5505
0.9965 0.7500 0.8220
0.2635 0.2500 0.7482
0.7365 0.7500 0.2518
0.1893 0.7500 0.1091
0.8107 0.2500 0.8909
0.4259 0.2500 0.3892
0.5741 0.7500 0.6108

=====

8.
DFT (GGA-PBE) results for an optimized crystal structure of LaH3Pt.

```
LaH3Pt
1.0
4.0181 -2.2649 0.0000
4.0181 2.2649 0.0000
-3.0200 0.0000 7.1318
La H Pt
2 6 2
Direct
0.2451 0.2451 0.2564
0.7549 0.7549 0.7436
0.1433 0.6829 0.0891
0.2268 0.2268 0.5765
0.3171 0.8567 0.9109
0.6829 0.1433 0.0891
0.7732 0.7732 0.4235
0.8567 0.3171 0.9109
0.0000 0.0000 0.5000
0.5000 0.5000 0.0000
```

=====

9.
ErPa5Sb6 | the Alexandria database | GGA-PBE | optimized geometry; raw formation energy = -6.443 eV per formula unit
1.0
3.7737 -6.5365 0.0000
3.7737 6.5365 0.0000
-2.5177 0.0000 7.1076
Er Pa Sb
1 5 6
Direct
0.0000 0.0000 0.0000
0.1675 0.8325 0.5000
0.3338 0.6662 0.0000
0.5000 0.5000 0.5000
0.6662 0.3338 0.0000
0.8325 0.1675 0.5000
0.0823 0.4128 0.2474
0.2472 0.2472 0.7506
0.4128 0.0823 0.2474
0.5872 0.9177 0.7526
0.7528 0.7528 0.2494
0.9177 0.5872 0.7526

=====

10.
KIr2Os | the Alexandria database | GGA-PBE | optimized geometry; calculated formation energy = 760 meV/atom
1.0
2.7036 0.0000 0.0000
0.0000 4.2373 0.0000
-1.2555 0.0000 7.2937
K Ir Os
1 2 1
Direct
0.0000 0.0000 0.0000
0.2545 0.0000 0.4704
0.3511 0.5000 0.6797
0.7047 0.5000 0.3642

=====

11.
LiWAu2 | the Alexandria database | GGA-PBE | optimized geometry; calculated formation energy = 289 meV/atom
1.0
0.0000 3.1941 3.1941
3.1941 0.0000 3.1941
3.1941 3.1941 0.0000
Li W Au
1 1 2
Direct
0.0000 0.0000 0.0000
0.5000 0.5000 0.5000
0.2500 0.2500 0.2500
0.7500 0.7500 0.7500

=====

12.
CeHoTc4 | the Alexandria database | GGA-PBE | optimized geometry; calculated formation energy = -75 meV/atom
1.0
0.0000 3.8299 3.8299
3.8299 0.0000 3.8299
3.8299 3.8299 0.0000
Ce Ho Tc
1 1 4
Direct
0.0000 0.0000 0.0000
0.2500 0.2500 0.2500
0.1255 0.6248 0.6248
0.6248 0.1255 0.6248
0.6248 0.6248 0.1255
0.6248 0.6248 0.6248

=====

no.,total DFT energy (no corrections) (eV/atom)
1,-3.606
2,-9.598
3,-3.447
4,-2.319
5,-3.654
6,-4.205
7,-2.977
8,-4.812
9,-6.935
10,-6.752
11,-5.067
12,-8.737